No. 1
Ba2NaInPd (PBE-GGA, relaxed); ΔH_f (0 K) = -183 meV per atom; VASP energy = -2.80 eV/atom
1.0
6.155 0.000 0.000
0.000 6.155 0.000
0.000 0.000 5.411
Ba Na In Pd
2 1 1 1
Direct
0.000 0.500 0.000
0.500 0.000 0.000
0.000 0.000 0.500
0.500 0.500 0.500
0.000 0.000 0.000


No. 2
Ba2NaInPd (PBE-GGA, relaxed); ΔH_f (0 K) = -317 meV per atom; VASP energy = -2.94 eV/atom
1.0
6.227 0.000 0.000
0.000 6.227 0.000
0.000 0.000 5.313
Ba Na In Pd
2 1 1 1
Direct
0.000 0.500 0.000
0.500 0.000 0.000
0.000 0.000 0.500
0.500 0.500 0.500
0.500 0.500 0.000


No. 3
Ba2NaIn12Pd3 (PBE-GGA, relaxed); ΔH_f (0 K) = -118 meV per atom; VASP energy = -3.10 eV/atom
1.0
4.701 2.714 7.237
-4.701 2.714 7.237
0.000 -5.428 7.237
Ba Na In Pd
2 1 12 3
Direct
0.085 0.085 0.085
0.915 0.915 0.915
0.500 0.500 0.500
0.043 0.663 0.663
0.256 0.256 0.629
0.256 0.629 0.256
0.337 0.337 0.957
0.337 0.957 0.337
0.371 0.744 0.744
0.629 0.256 0.256
0.663 0.043 0.663
0.663 0.663 0.043
0.744 0.371 0.744
0.744 0.744 0.371
0.957 0.337 0.337
0.000 0.500 0.500
0.500 0.000 0.500
0.500 0.500 0.000


No. 4
BaNaPrIn (PBE-GGA, relaxed); ΔH_f (0 K) = -106 meV per atom; VASP energy = -2.80 eV/atom
1.0
8.307 0.000 0.000
0.000 8.307 0.000
0.000 0.000 8.307
Ba Na Pr In
4 4 4 4
Direct
0.000 0.000 0.000
0.000 0.500 0.500
0.500 0.000 0.500
0.500 0.500 0.000
0.250 0.250 0.750
0.250 0.750 0.250
0.750 0.250 0.250
0.750 0.750 0.750
0.000 0.000 0.500
0.000 0.500 0.000
0.500 0.000 0.000
0.500 0.500 0.500
0.250 0.250 0.250
0.250 0.750 0.750
0.750 0.250 0.750
0.750 0.750 0.250